Entry 1:
Here is a geometry-optimized Ac2SmHoTe5 structure from the Alexandria database. Energies are from PBE. Values from VASP.

Computed properties:
Formation energy without anion corrections   -1.019 eV/atom
Final energy   -42.39 eV per formula unit

Structure (Quantum ESPRESSO input):
```
&SYSTEM
  ibrav = 0, nat = 9, ntyp = 4
/
ATOMIC_SPECIES
Te 127.60 Te.upf
Ac 227.00 Ac.upf
Ho 164.93 Ho.upf
Sm 150.36 Sm.upf
CELL_PARAMETERS angstrom
5.492 0.000 0.000
0.000 5.492 0.000
0.000 0.000 11.755
ATOMIC_POSITIONS crystal
Te 0.500 0.000 0.500
Te 0.000 0.000 0.752
Te 0.000 0.500 0.500
Te 0.000 0.000 0.248
Te 0.500 0.500 0.000
Ac 0.500 0.500 0.701
Ac 0.500 0.500 0.299
Ho 0.000 0.000 0.500
Sm 0.000 0.000 0.000
```

***

Entry 2:
Here is a geometry-optimized Ho5Tl4 structure from the Alexandria database. Energies are from PBE. Values from VASP.

Computed properties:
Energy of formation from the pure elements   -2.99 eV per formula unit
Final energy   -35.34 eV per formula unit

Structure (Quantum ESPRESSO input):
```
&SYSTEM
  ibrav = 0, nat = 18, ntyp = 2
/
ATOMIC_SPECIES
Tl 204.38 Tl.upf
Ho 164.93 Ho.upf
CELL_PARAMETERS angstrom
-3.554 -5.490 1.396
4.891 -4.765 -6.290
2.888 0.372 8.815
ATOMIC_POSITIONS crystal
Tl 0.750 0.374 0.374
Tl 0.250 0.626 0.626
Tl 0.250 0.000 0.374
Tl 0.250 0.374 0.000
Tl 0.750 0.626 0.000
Tl 0.750 0.000 0.626
Tl 0.500 0.000 0.000
Tl 0.000 0.000 0.000
Ho 0.750 0.711 0.711
Ho 0.250 0.000 0.711
Ho 0.750 0.000 0.289
Ho 0.000 0.333 0.667
Ho 0.750 0.289 0.000
Ho 0.250 0.289 0.289
Ho 0.250 0.711 0.000
Ho 0.500 0.333 0.667
Ho 0.000 0.667 0.333
Ho 0.500 0.667 0.333
```

***

Entry 3:
Here is a geometry-optimized VCoSbTe2 structure from the Alexandria database. Energies are from PBE. Values from VASP.

Computed properties:
Formation energy without anion corrections   0.947 eV/atom
Final energy   -21.90 eV per formula unit

Structure (Quantum ESPRESSO input):
```
&SYSTEM
  ibrav = 0, nat = 5, ntyp = 4
/
ATOMIC_SPECIES
Co 58.93 Co.upf
Sb 121.76 Sb.upf
Te 127.60 Te.upf
V 50.94 V.upf
CELL_PARAMETERS angstrom
-2.360 4.285 -1.418
-4.331 -2.600 -0.649
-1.268 0.903 4.841
ATOMIC_POSITIONS crystal
Co 0.500 0.500 0.500
Sb 0.000 0.000 0.500
Te 0.000 0.500 0.000
Te 0.500 0.000 0.000
V 0.000 0.000 0.000
```

***

Entry 4:
Here is a geometry-optimized NdZn2Ga structure from the Alexandria database. Energies are from PBE. Values from VASP.

Computed properties:
Energy of formation from the pure elements   -1.74 eV per formula unit
Final energy   -12.08 eV per formula unit

Structure (Quantum ESPRESSO input):
```
&SYSTEM
  ibrav = 0, nat = 8, ntyp = 3
/
ATOMIC_SPECIES
Zn 65.41 Zn.upf
Ga 69.72 Ga.upf
Nd 144.24 Nd.upf
CELL_PARAMETERS angstrom
-0.892 1.055 -4.370
-3.606 -3.832 2.214
-3.987 4.907 1.999
ATOMIC_POSITIONS crystal
Zn 0.471 0.942 0.500
Zn 0.046 0.092 0.309
Zn 0.046 0.092 0.691
Zn 0.867 0.733 0.000
Ga 0.282 0.564 0.196
Ga 0.282 0.564 0.804
Nd 0.566 0.131 0.000
Nd 0.769 0.539 0.500
```